*P*
Density functional theory data (PBE) for a relaxed Ce2PmHg crystal.

Unit cell a=4.6509 b=4.6509 c=5.1649 alpha=90.00 beta=90.00 gamma=90.00
Closest atoms and distances in Å follow each position.
Sites, in units of the cell vectors:
Ce  0.0000  0.5000  0.0000  4 Ce 3.29, 4 Hg 3.48, 4 Pm 3.48
Ce  0.5000  0.0000  0.0000  4 Ce 3.29, 4 Hg 3.48, 4 Pm 3.48
Pm  0.0000  0.0000  0.5000  4 Hg 3.29, 8 Ce 3.48
Hg  0.5000  0.5000  0.5000  4 Pm 3.29, 8 Ce 3.48

Results
total moment	1.797	Bohr magnetons per cell
symmetry	P4/mmm, No. 123
volume	27.9	A^3/atom

***

*Q*
Density functional theory data (PBE) for a relaxed Ce2PmHg crystal.

Unit cell a=5.4538 b=5.4538 c=5.4538 alpha=60.00 beta=60.00 gamma=60.00
Closest atoms and distances in Å follow each position.
Sites, in units of the cell vectors:
Ce  0.2500  0.2500  0.2500  4 Hg 3.34, 4 Pm 3.34
Ce  0.7500  0.7500  0.7500  4 Hg 3.34, 4 Pm 3.34
Pm  0.0000  0.0000  0.0000  8 Ce 3.34
Hg  0.5000  0.5000  0.5000  8 Ce 3.34

Results
total moment	2.729	Bohr magnetons per cell
symmetry	Fm-3m, No. 225
volume	28.7	A^3/atom

***

*P* takes first place; second place is 0.135 eV/atom up.

***

*P*
Density functional theory data (PBE) for a relaxed CePmHg3 crystal.

Unit cell a=8.1758 b=6.5356 c=10.8611 alpha=90.00 beta=112.92 gamma=90.00
Closest atoms and distances in Å follow each position.
Sites, in units of the cell vectors:
Ce  0.1388  0.1465  0.0333  1 Ce 2.84, 1 Hg 3.18
Ce  0.1388  0.3535  0.5333  1 Ce 2.84, 1 Hg 3.18
Ce  0.8612  0.6465  0.4667  1 Ce 2.84, 1 Hg 3.18
Ce  0.8612  0.8535  0.9667  1 Ce 2.84, 1 Hg 3.18
Pm  0.3813  0.6727  0.8474  8 Hg 3.09-3.46
Pm  0.3813  0.8273  0.3474  8 Hg 3.09-3.46
Pm  0.6187  0.1727  0.6526  8 Hg 3.09-3.46
Pm  0.6187  0.3273  0.1526  8 Hg 3.09-3.46
Hg  0.0033  0.5270  0.2295  5 Hg 3.09-3.30, 2 Pm 3.20-3.46, 3 Ce 3.25-3.39
Hg  0.0033  0.9730  0.7295  5 Hg 3.09-3.30, 2 Pm 3.20-3.46, 3 Ce 3.25-3.39
Hg  0.2348  0.6197  0.0688  4 Hg 3.09-3.39, 2 Pm 3.09-3.10, 2 Ce 3.18-3.20
Hg  0.2348  0.8803  0.5688  4 Hg 3.09-3.39, 2 Pm 3.09-3.10, 2 Ce 3.18-3.20
Hg  0.3962  0.1651  0.8513  3 Hg 3.13-3.39, 4 Pm 3.22-3.32, 2 Ce 3.40-3.49
Hg  0.3962  0.3349  0.3513  3 Hg 3.13-3.39, 4 Pm 3.22-3.32, 2 Ce 3.40-3.49
Hg  0.6038  0.6651  0.6487  3 Hg 3.13-3.39, 4 Pm 3.22-3.32, 2 Ce 3.40-3.49
Hg  0.6038  0.8349  0.1487  3 Hg 3.13-3.39, 4 Pm 3.22-3.32, 2 Ce 3.40-3.49
Hg  0.7652  0.1197  0.4312  4 Hg 3.09-3.39, 2 Pm 3.09-3.10, 2 Ce 3.18-3.20
Hg  0.7652  0.3803  0.9312  4 Hg 3.09-3.39, 2 Pm 3.09-3.10, 2 Ce 3.18-3.20
Hg  0.9967  0.0270  0.2705  5 Hg 3.09-3.30, 2 Pm 3.20-3.46, 3 Ce 3.25-3.39
Hg  0.9967  0.4730  0.7705  5 Hg 3.09-3.30, 2 Pm 3.20-3.46, 3 Ce 3.25-3.39

Results
total moment	3.921	Bohr magnetons per cell
symmetry	P2_1/c, No. 14
volume	26.7	A^3/atom

***

*Q*
Density functional theory data (PBE) for a relaxed CePmHg3 crystal.

Unit cell a=15.1289 b=15.1289 c=5.0086 alpha=90.00 beta=90.00 gamma=166.72
Closest atoms and distances in Å follow each position.
Sites, in units of the cell vectors:
Ce  0.2136  0.7864  0.7500  7 Hg 3.27-3.35, 2 Ce 3.50
Ce  0.7864  0.2136  0.2500  7 Hg 3.27-3.35, 2 Ce 3.50
Pm  0.0737  0.9263  0.2500  12 Hg 3.36-3.51, 2 Pm 3.50
Pm  0.9263  0.0737  0.7500  12 Hg 3.36-3.51, 2 Pm 3.50
Hg  0.3250  0.6750  0.7500  2 Hg 3.00, 5 Ce 3.27-3.35
Hg  0.3798  0.6202  0.2500  3 Hg 2.90-3.00
Hg  0.4763  0.5237  0.2500  3 Hg 2.88-2.90
Hg  0.5237  0.4763  0.7500  3 Hg 2.88-2.90
Hg  0.6202  0.3798  0.7500  3 Hg 2.90-3.00
Hg  0.6750  0.3250  0.2500  2 Hg 3.00, 5 Ce 3.27-3.35

Results
total moment	2.645	Bohr magnetons per cell
symmetry	Cmcm, No. 63
volume	26.3	A^3/atom

***

*Q* takes first place; second place is 0.020 eV/atom up.

***

*P*
Density functional theory data (PBE) for a relaxed CePmHg crystal.

Unit cell a=5.1893 b=5.1893 c=3.5944 alpha=90.00 beta=90.00 gamma=120.00
Closest atoms and distances in Å follow each position.
Sites, in units of the cell vectors:
Ce  0.0000  0.0000  0.0000  3 Hg 3.22, 3 Pm 3.28, 2 Ce 3.59
Pm  0.6667  0.3333  0.3686  3 Hg 3.19, 3 Ce 3.28
Hg  0.3333  0.6667  0.6697  3 Pm 3.19, 3 Ce 3.22

Results
total moment	0.897	Bohr magnetons per cell
symmetry	P3m1, No. 156
volume	27.9	A^3/atom

***

*Q*
Density functional theory data (PBE) for a relaxed CePmHg crystal.

Unit cell a=9.6260 b=9.6260 c=9.6260 alpha=159.98 beta=144.45 gamma=41.13
Closest atoms and distances in Å follow each position.
Sites, in units of the cell vectors:
Ce  0.2219  0.0000  0.2219  1 Ce 2.61
Ce  0.7781  0.0000  0.7781  1 Ce 2.61
Pm  0.1680  0.6680  0.5000  5 Hg 3.17-3.39, 2 Pm 3.35
Pm  0.8320  0.3320  0.5000  5 Hg 3.17-3.39, 2 Pm 3.35
Hg  0.3437  0.8437  0.5000  5 Pm 3.17-3.39, 2 Ce 3.26, 2 Hg 3.35
Hg  0.6563  0.1563  0.5000  5 Pm 3.17-3.39, 2 Ce 3.26, 2 Hg 3.35

Results
total moment	1.846	Bohr magnetons per cell
symmetry	Immm, No. 71
volume	29.5	A^3/atom

***

*P* takes first place; second place is 0.050 eV/atom up.